[1]
This record from the Alexandria database describes RbMo after structural relaxation. The functional is PBE-GGA.

Properties
DFT formation energy ... 1499 meV per atom
Total DFT energy (no corrections) ... -70.4 eV for the cell shown
Spin magnetization ... 0.5 μB/f.u.
Energy above the lowest structure with this stoichiometry ... 480 meV/atom

Lattice parameters (Å, degrees): 10.548 10.548 10.548 90.00 90.00 90.00
Space group I-43m (No. 217)
Asymmetric unit:
Rb  0.220  0.220  0.220 (multiplicity 8)
Mo  0.081  0.081  0.919 (multiplicity 8)

***

[2]
This record from the Alexandria database describes RbMo after structural relaxation. The functional is PBE-GGA.

Properties
DFT formation energy ... 1019 meV per atom
Total DFT energy (no corrections) ... -78.1 eV for the cell shown
Spin magnetization ... 0.0 μB/f.u.
Energy above the lowest structure with this stoichiometry ... 0 meV/atom

Lattice parameters (Å, degrees): 4.659 11.998 12.085 90.00 90.00 90.00
Space group P2_12_12_1 (No. 19)
Asymmetric unit:
Rb  0.241  0.156  0.145 (multiplicity 4)
Rb  0.246  0.498  0.624 (multiplicity 4)
Mo  0.246  0.173  0.605 (multiplicity 4)
Mo  0.246  0.254  0.435 (multiplicity 4)

***

[3]
This record from the Alexandria database describes RbMo after structural relaxation. The functional is PBE-GGA.

Properties
DFT formation energy ... 2539 meV per atom
Total DFT energy (no corrections) ... -26.9 eV for the cell shown
Spin magnetization ... 5.1 μB/f.u.
Energy above the lowest structure with this stoichiometry ... 1520 meV/atom

Lattice parameters (Å, degrees): 7.657 7.657 7.657 90.00 90.00 90.00
Space group Fm-3m (No. 225)
Asymmetric unit:
Rb  0.000  0.000  0.000 (multiplicity 4)
Mo  0.000  0.000  0.500 (multiplicity 4)

***

[4]
This record from the Alexandria database describes RbMo after structural relaxation. The functional is PBE-GGA.

Properties
DFT formation energy ... 1204 meV per atom
Total DFT energy (no corrections) ... -75.1 eV for the cell shown
Spin magnetization ... 0.1 μB/f.u.
Energy above the lowest structure with this stoichiometry ... 185 meV/atom

Lattice parameters (Å, degrees): 14.120 14.120 3.262 90.00 90.00 90.00
Space group P4/mmm (No. 123)
Asymmetric unit:
Rb  0.000  0.363  0.000 (multiplicity 4)
Rb  0.267  0.267  0.500 (multiplicity 4)
Mo  0.232  0.500  0.500 (multiplicity 4)
Mo  0.354  0.500  0.000 (multiplicity 4)

***

[5]
This record from the Alexandria database describes RbMo after structural relaxation. The functional is PBE-GGA.

Properties
DFT formation energy ... 1492 meV per atom
Total DFT energy (no corrections) ... -141.0 eV for the cell shown
Spin magnetization ... 0.0 μB/f.u.
Energy above the lowest structure with this stoichiometry ... 473 meV/atom

Lattice parameters (Å, degrees): 6.951 10.994 16.585 90.00 90.00 90.00
Space group Fddd (No. 70, origin choice 2)
Asymmetric unit:
Rb  0.125  0.289  0.125 (multiplicity 16)
Mo  0.125  0.125  0.564 (multiplicity 16)

***

[6]
This record from the Alexandria database describes RbMo after structural relaxation. The functional is PBE-GGA.

Properties
DFT formation energy ... 1138 meV per atom
Total DFT energy (no corrections) ... -57.1 eV for the cell shown
Spin magnetization ... 0.0 μB/f.u.
Energy above the lowest structure with this stoichiometry ... 119 meV/atom

Lattice parameters (Å, degrees): 3.282 16.415 8.811 90.00 90.00 90.00
Space group Pmmn (No. 59, origin choice 2)
Asymmetric unit:
Rb  0.250  0.031  0.234 (multiplicity 4)
Rb  0.250  0.750  0.466 (multiplicity 2)
Mo  0.250  0.250  0.097 (multiplicity 2)
Mo  0.250  0.676  0.065 (multiplicity 4)

***

[7]
This record from the Alexandria database describes RbReMo3 after structural relaxation. The functional is PBE-GGA.

Properties
DFT formation energy ... 1846 meV per atom
Total DFT energy (no corrections) ... -36.7 eV for the cell shown
Spin magnetization ... 0.0 μB/f.u.
Energy above the lowest structure with this stoichiometry ... 0 meV/atom

Lattice parameters (Å, degrees): 4.915 4.915 4.915 90.00 90.00 90.00
Space group Pm-3m (No. 221)
Asymmetric unit:
Rb  0.000  0.000  0.000 (multiplicity 1)
Re  0.500  0.500  0.500 (multiplicity 1)
Mo  0.000  0.500  0.500 (multiplicity 3)

***

[8]
This record from the Alexandria database describes RbReMo3 after structural relaxation. The functional is PBE-GGA.

Properties
DFT formation energy ... 3535 meV per atom
Total DFT energy (no corrections) ... -28.2 eV for the cell shown
Spin magnetization ... 0.0 μB/f.u.
Energy above the lowest structure with this stoichiometry ... 1689 meV/atom

Lattice parameters (Å, degrees): 4.574 4.574 4.574 90.00 90.00 90.00
Space group Pm-3m (No. 221)
Asymmetric unit:
Rb  0.000  0.000  0.000 (multiplicity 1)
Re  0.500  0.500  0.500 (multiplicity 1)
Mo  0.000  0.000  0.500 (multiplicity 3)